Entry 1:
# PBE Li2VTeMo, optimized geometry
# D(E_F) = 3.550 states/eV per cell
# Formation energy from raw total energies = 0.8321 eV per atom
data_Li2VTeMo
_chemical_formula_sum 'Li2 V1 Te1 Mo1'
_symmetry_space_group_name_H-M 'P 4/m m m'
_symmetry_Int_Tables_number 123
_symmetry_space_group_name_Hall '-P 4 2'
_cell_length_a 4.827
_cell_length_b 4.827
_cell_length_c 4.446
_cell_angle_alpha 90.00
_cell_angle_beta 90.00
_cell_angle_gamma 90.00
loop_
_atom_site_label
_atom_site_type_symbol
_atom_site_fract_x
_atom_site_fract_y
_atom_site_fract_z
_atom_site_occupancy
Li1 Li 0.000 0.500 0.000 1
V1 V 0.000 0.000 0.000 1
Te1 Te 0.500 0.500 0.500 1
Mo1 Mo 0.000 0.000 0.500 1

Entry 2:
# PBE LiYTeMo2, optimized geometry
# D(E_F) = 5.344 states/eV per cell
# Formation energy from raw total energies = 1.7568 eV per atom
data_LiYTeMo2
_chemical_formula_sum 'Li1 Y1 Te1 Mo2'
_symmetry_space_group_name_H-M 'P 4/m m m'
_symmetry_Int_Tables_number 123
_symmetry_space_group_name_Hall '-P 4 2'
_cell_length_a 4.995
_cell_length_b 4.995
_cell_length_c 4.973
_cell_angle_alpha 90.00
_cell_angle_beta 90.00
_cell_angle_gamma 90.00
loop_
_atom_site_label
_atom_site_type_symbol
_atom_site_fract_x
_atom_site_fract_y
_atom_site_fract_z
_atom_site_occupancy
Li1 Li 0.000 0.000 0.000 1
Y1 Y 0.000 0.000 0.500 1
Te1 Te 0.500 0.500 0.000 1
Mo1 Mo 0.000 0.500 0.500 1